Record 1
DFT (PBE) results for a relaxed structure of LiY2W.

Values from the calculation:
energy relative to the lowest polymorph listed for this composition = 256.4 meV/atom
DFT total energy = -6.35 eV/atom
crystal system = orthorhombic
E_form = 0.601 eV/atom

Unit cell a=3.0588 b=3.0588 c=9.8859 alpha=90.00 beta=90.00 gamma=97.53
Last column: nearest neighbours and their distance in Å.
Atoms (fractional coordinates):
1 Y 0.0000 0.0000 0.9573  4 W 3.00-3.20, 4 Y 3.06
2 Y 0.5000 0.5000 0.2766  4 Y 3.06, 2 Li 3.25
3 Li 0.0000 0.0000 0.5339  4 W 2.81-3.02, 4 Li 3.06
4 W 0.5000 0.5000 0.7322  4 Li 2.81-3.02, 2 Y 3.00, 4 W 3.06

Record 2
DFT (PBE) results for a relaxed structure of LiY3W.

Values from the calculation:
energy relative to the lowest polymorph listed for this composition = 634.7 meV/atom
DFT total energy = -5.65 eV/atom
crystal system = cubic
E_form = 1.199 eV/atom

Unit cell a=5.0600 b=5.0600 c=5.0600 alpha=90.00 beta=90.00 gamma=90.00
Last column: nearest neighbours and their distance in Å.
Atoms (fractional coordinates):
1 Li 0.0000 0.0000 0.0000  6 Y 2.53
2 Y 0.0000 0.0000 0.5000  2 Li 2.53
3 Y 0.5000 0.0000 0.0000  2 Li 2.53
4 Y 0.0000 0.5000 0.0000  2 Li 2.53
5 W 0.5000 0.5000 0.5000  12 Y 3.58

Record 3
DFT (PBE) results for a relaxed structure of LiYW.

Values from the calculation:
energy relative to the lowest polymorph listed for this composition = 1074.3 meV/atom
DFT total energy = -5.44 eV/atom
crystal system = cubic
E_form = 1.673 eV/atom

Unit cell a=4.7558 b=4.7558 c=4.7558 alpha=60.00 beta=60.00 gamma=60.00
Last column: nearest neighbours and their distance in Å.
Atoms (fractional coordinates):
1 W 0.5000 0.5000 0.5000  4 Y 2.91
2 Y 0.7500 0.7500 0.7500  4 W 2.91, 4 Li 2.91
3 Li 0.0000 0.0000 0.0000  4 Y 2.91

Record 4
DFT (PBE) results for a relaxed structure of LiYW2.

Values from the calculation:
energy relative to the lowest polymorph listed for this composition = 310.9 meV/atom
DFT total energy = -7.88 eV/atom
crystal system = orthorhombic
E_form = 0.692 eV/atom

Unit cell a=5.6299 b=5.6299 c=2.7627 alpha=90.00 beta=90.00 gamma=122.26
Last column: nearest neighbours and their distance in Å.
Atoms (fractional coordinates):
1 W 0.0000 0.0000 0.0000  4 W 2.72-2.76
2 W 0.5000 0.5000 0.0000  4 W 2.72-2.76
3 Y 0.5000 0.0000 0.5000  2 Li 2.72, 2 Y 2.76
4 Li 0.0000 0.5000 0.5000  2 Y 2.72, 2 Li 2.76